Below is a geometry-optimized SbP2Se structure, with properties calculated at the GGA-PBE level.

Cell lengths 6.763, 6.763, 6.763 Å; angles 90.00, 90.00, 90.00 degrees
Space group F-43m (No. 216)
Symmetry-distinct sites (fractional):
1 Sb 0.000 0.000 0.000 x4
2 P 0.000 0.000 0.500 x4
3 P 0.250 0.250 0.750 x4
4 Se 0.250 0.250 0.250 x4

Values from the calculation:
The value obtained for the uncorrected formation energy is 0.591 eV/atom.


Below is a geometry-optimized SbPSe2 structure, with properties calculated at the GGA-PBE level.

Cell lengths 3.832, 3.832, 13.380 Å; angles 90.00, 90.00, 90.00 degrees
Space group I-4m2 (No. 119)
Symmetry-distinct sites (fractional):
1 Sb 0.000 0.000 0.000 x2
2 P 0.000 0.500 0.250 x2
3 Se 0.000 0.000 0.500 x2
4 Se 0.000 0.500 0.750 x2

Values from the calculation:
The value obtained for the uncorrected formation energy is 0.428 eV/atom.


Below is a geometry-optimized SbPSe3 structure, with properties calculated at the GGA-PBE level.

Cell lengths 5.310, 5.310, 5.310 Å; angles 90.00, 90.00, 90.00 degrees
Space group Pm-3m (No. 221)
Symmetry-distinct sites (fractional):
1 Sb 0.000 0.000 0.000 x1
2 P 0.500 0.500 0.500 x1
3 Se 0.000 0.000 0.500 x3

Values from the calculation:
The value obtained for the uncorrected formation energy is 0.977 eV/atom.


Below is a geometry-optimized Sb2PSe structure, with properties calculated at the GGA-PBE level.

Cell lengths 3.703, 3.742, 14.675 Å; angles 90.00, 90.00, 90.00 degrees
Space group Imm2 (No. 44)
Symmetry-distinct sites (fractional):
1 Sb 0.000 0.000 0.000 x2
2 Sb 0.000 0.500 0.215 x2
3 P 0.000 0.500 0.651 x2
4 Se 0.000 0.000 0.413 x2

Values from the calculation:
The value obtained for the uncorrected formation energy is 0.133 eV/atom.


Below is a geometry-optimized Sb2PSe structure, with properties calculated at the GGA-PBE level.

Cell lengths 3.938, 4.242, 6.156 Å; angles 90.00, 90.00, 90.00 degrees
Space group Pmm2 (No. 25)
Symmetry-distinct sites (fractional):
1 Sb 0.000 0.000 0.000 x1
2 Sb 0.500 0.500 0.465 x1
3 P 0.000 0.000 0.418 x1
4 Se 0.500 0.500 0.985 x1

Values from the calculation:
The value obtained for the uncorrected formation energy is 0.067 eV/atom.


Below is a geometry-optimized SbPSe2 structure, with properties calculated at the GGA-PBE level.

Cell lengths 7.197, 3.602, 7.264 Å; angles 90.00, 106.12, 90.00 degrees
Space group C2/m (No. 12)
Symmetry-distinct sites (fractional):
1 Sb 0.000 0.000 0.000 x2
2 P 0.000 0.500 0.500 x2
3 Se 0.225 0.000 0.719 x4

Values from the calculation:
The value obtained for the uncorrected formation energy is 0.177 eV/atom.


Below is a geometry-optimized Sb2PSe structure, with properties calculated at the GGA-PBE level.

Cell lengths 3.729, 18.366, 3.305 Å; angles 90.00, 90.00, 90.00 degrees
Space group Cmmm (No. 65)
Symmetry-distinct sites (fractional):
1 Sb 0.000 0.189 0.000 x4
2 P 0.000 0.500 0.500 x2
3 Se 0.000 0.000 0.000 x2

Values from the calculation:
The value obtained for the uncorrected formation energy is 0.376 eV/atom.


Below is a geometry-optimized SbPSe2 structure, with properties calculated at the GGA-PBE level.

Cell lengths 5.665, 5.665, 5.769 Å; angles 90.00, 90.00, 90.00 degrees
Space group I4/mmm (No. 139)
Symmetry-distinct sites (fractional):
1 Sb 0.000 0.000 0.000 x2
2 P 0.000 0.000 0.500 x2
3 Se 0.000 0.500 0.000 x4

Values from the calculation:
The value obtained for the uncorrected formation energy is 0.193 eV/atom.


Below is a geometry-optimized SbPSe2 structure, with properties calculated at the GGA-PBE level.

Cell lengths 3.755, 3.755, 16.056 Å; angles 90.00, 90.00, 90.00 degrees
Space group I4/mmm (No. 139)
Symmetry-distinct sites (fractional):
1 Sb 0.000 0.000 0.000 x2
2 P 0.000 0.000 0.500 x2
3 Se 0.000 0.500 0.250 x4

Values from the calculation:
The value obtained for the uncorrected formation energy is 0.422 eV/atom.


Below is a geometry-optimized SbPSe2 structure, with properties calculated at the GGA-PBE level.

Cell lengths 5.691, 7.261, 12.155 Å; angles 75.35, 87.60, 84.61 degrees
Space group P-1 (No. 2)
Symmetry-distinct sites (fractional):
1 Sb 0.014 0.302 0.492 x2
2 Sb 0.301 0.242 0.796 x2
3 P 0.354 0.227 0.052 x2
4 P 0.424 0.592 0.719 x2
5 Se 0.174 0.417 0.276 x2
6 Se 0.284 0.922 0.120 x2
7 Se 0.303 0.733 0.869 x2
8 Se 0.427 0.201 0.589 x2

Values from the calculation:
The value obtained for the uncorrected formation energy is 0.013 eV/atom.


Below is a geometry-optimized Sb3PSe structure, with properties calculated at the GGA-PBE level.

Cell lengths 5.211, 5.211, 5.211 Å; angles 90.00, 90.00, 90.00 degrees
Space group Pm-3m (No. 221)
Symmetry-distinct sites (fractional):
1 Sb 0.000 0.000 0.500 x3
2 P 0.000 0.000 0.000 x1
3 Se 0.500 0.500 0.500 x1

Values from the calculation:
The value obtained for the uncorrected formation energy is 0.669 eV/atom.


Below is a geometry-optimized SbP2Se structure, with properties calculated at the GGA-PBE level.

Cell lengths 4.646, 3.937, 5.104 Å; angles 90.00, 108.03, 90.00 degrees
Space group P2/m (No. 10)
Symmetry-distinct sites (fractional):
1 Sb 0.000 0.000 0.000 x1
2 P 0.306 0.500 0.809 x2
3 Se 0.500 0.000 0.500 x1

Values from the calculation:
The value obtained for the uncorrected formation energy is 0.194 eV/atom.


Energy, respectively: -0.1476, -0.1359, -0.1110, -0.1526, -0.1550, -0.1451, -0.1436, -0.1445, -0.1361, -0.1511, -0.1317, -0.1622 hartree per atom.
Offset from the most stable computed form, respectively: 0.4562, 0.4262, 1.0714, 0.1114, 0.0451, 0.1752, 0.3545, 0.1915, 0.4203, 0.0116, 0.0000, 0.0587 eV per atom.